KErCrF6 | PBE with a Hubbard U | optimized geometry

Lattice parameters (Å, degrees): 5.8338 5.8338 11.0011 90.00 90.00 120.00
Atoms (fractional coordinates):
K 0.0000 0.0000 0.0000
K 0.0000 0.0000 0.5000
Er 0.3333 0.6667 0.2500
Er 0.6667 0.3333 0.7500
Cr 0.3333 0.6667 0.7500
Cr 0.6667 0.3333 0.2500
F 0.0035 0.3752 0.6470
F 0.0035 0.6282 0.8530
F 0.3718 0.3752 0.8530
F 0.3718 0.9965 0.6470
F 0.3752 0.0035 0.1470
F 0.3752 0.3718 0.3530
F 0.6248 0.6282 0.6470
F 0.6248 0.9965 0.8530
F 0.6282 0.0035 0.3530
F 0.6282 0.6248 0.1470
F 0.9965 0.3718 0.1470
F 0.9965 0.6248 0.3530

The final energy is -106.92 eV per cell. The density of states at the Fermi level is 13.47 states/eV per cell. The calculation puts the total magnetization at 8.00 μB/cell.